(1)
Ta2TlBi: optimized geometry, PBE.

Results
Its total energy is -26.9 eV per cell. The density of states at the Fermi level is 3.37 states/eV/cell. The formation energy comes out at 74 kJ/mol of atoms.

CIF file:
```
data_Ta2TlBi
_chemical_formula_sum 'Ta2 Tl1 Bi1'
_cell_length_a 4.918
_cell_length_b 4.918
_cell_length_c 4.918
_cell_angle_alpha 60.00
_cell_angle_beta 60.00
_cell_angle_gamma 60.00
_space_group_name_H-M_alt 'P 1'
_space_group_IT_number 1
loop_
_space_group_symop_operation_xyz
'x,y,z'
loop_
_atom_site_label
_atom_site_type_symbol
_atom_site_fract_x
_atom_site_fract_y
_atom_site_fract_z
_atom_site_occupancy
Ta1 Ta 0.250 0.250 0.250 1
Ta2 Ta 0.750 0.750 0.750 1
Tl1 Tl 0.000 0.000 0.000 1
Bi1 Bi 0.500 0.500 0.500 1
```


(2)
TaTlBi2: optimized geometry, PBE.

Results
Its total energy is -19.3 eV per cell. The density of states at the Fermi level is 3.40 states/eV/cell. The formation energy comes out at 65 kJ/mol of atoms.

CIF file:
```
data_TaTlBi2
_chemical_formula_sum 'Ta1 Tl1 Bi2'
_cell_length_a 5.315
_cell_length_b 5.315
_cell_length_c 5.315
_cell_angle_alpha 60.00
_cell_angle_beta 60.00
_cell_angle_gamma 60.00
_space_group_name_H-M_alt 'P 1'
_space_group_IT_number 1
loop_
_space_group_symop_operation_xyz
'x,y,z'
loop_
_atom_site_label
_atom_site_type_symbol
_atom_site_fract_x
_atom_site_fract_y
_atom_site_fract_z
_atom_site_occupancy
Ta1 Ta 0.000 0.000 0.000 1
Tl1 Tl 0.500 0.500 0.500 1
Bi1 Bi 0.250 0.250 0.250 1
Bi2 Bi 0.750 0.750 0.750 1
```


(3)
TaTl2Bi: optimized geometry, PBE.

Results
Its total energy is -16.9 eV per cell. The density of states at the Fermi level is 3.63 states/eV/cell. The formation energy comes out at 86 kJ/mol of atoms.

CIF file:
```
data_TaTl2Bi
_chemical_formula_sum 'Ta1 Tl2 Bi1'
_cell_length_a 5.296
_cell_length_b 5.296
_cell_length_c 5.296
_cell_angle_alpha 60.00
_cell_angle_beta 60.00
_cell_angle_gamma 60.00
_space_group_name_H-M_alt 'P 1'
_space_group_IT_number 1
loop_
_space_group_symop_operation_xyz
'x,y,z'
loop_
_atom_site_label
_atom_site_type_symbol
_atom_site_fract_x
_atom_site_fract_y
_atom_site_fract_z
_atom_site_occupancy
Ta1 Ta 0.000 0.000 0.000 1
Tl1 Tl 0.250 0.250 0.250 1
Tl2 Tl 0.750 0.750 0.750 1
Bi1 Bi 0.500 0.500 0.500 1
```


(4)
Zr2TaTlBi: optimized geometry, PBE.

Results
Its total energy is -31.4 eV per cell. The density of states at the Fermi level is 3.72 states/eV/cell. The formation energy comes out at 73 kJ/mol of atoms.

CIF file:
```
data_Zr2TaTlBi
_chemical_formula_sum 'Zr2 Ta1 Tl1 Bi1'
_cell_length_a 5.173
_cell_length_b 5.173
_cell_length_c 5.430
_cell_angle_alpha 90.00
_cell_angle_beta 90.00
_cell_angle_gamma 90.00
_space_group_name_H-M_alt 'P 1'
_space_group_IT_number 1
loop_
_space_group_symop_operation_xyz
'x,y,z'
loop_
_atom_site_label
_atom_site_type_symbol
_atom_site_fract_x
_atom_site_fract_y
_atom_site_fract_z
_atom_site_occupancy
Zr1 Zr 0.000 0.500 0.000 1
Zr2 Zr 0.500 0.000 0.000 1
Ta1 Ta 0.000 0.000 0.000 1
Tl1 Tl 0.000 0.000 0.500 1
Bi1 Bi 0.500 0.500 0.500 1
```


(5)
Ta2VBi2: optimized geometry, PBE.

Results
Its total energy is -34.7 eV per cell. The density of states at the Fermi level is 4.87 states/eV/cell. The formation energy comes out at 114 kJ/mol of atoms.

CIF file:
```
data_Ta2VBi2
_chemical_formula_sum 'Ta2 V1 Bi2'
_cell_length_a 7.571
_cell_length_b 7.571
_cell_length_c 7.571
_cell_angle_alpha 147.56
_cell_angle_beta 147.56
_cell_angle_gamma 46.53
_space_group_name_H-M_alt 'P 1'
_space_group_IT_number 1
loop_
_space_group_symop_operation_xyz
'x,y,z'
loop_
_atom_site_label
_atom_site_type_symbol
_atom_site_fract_x
_atom_site_fract_y
_atom_site_fract_z
_atom_site_occupancy
Ta1 Ta 0.089 0.089 0.000 1
Ta2 Ta 0.911 0.911 0.000 1
V1 V 0.500 0.500 0.000 1
Bi1 Bi 0.250 0.750 0.500 1
Bi2 Bi 0.750 0.250 0.500 1
```


(6)
TaVBi3: optimized geometry, PBE.

Results
Its total energy is -27.4 eV per cell. The density of states at the Fermi level is 9.74 states/eV/cell. The formation energy comes out at 101 kJ/mol of atoms.

CIF file:
```
data_TaVBi3
_chemical_formula_sum 'Ta1 V1 Bi3'
_cell_length_a 5.492
_cell_length_b 5.492
_cell_length_c 5.492
_cell_angle_alpha 90.00
_cell_angle_beta 90.00
_cell_angle_gamma 90.00
_space_group_name_H-M_alt 'P 1'
_space_group_IT_number 1
loop_
_space_group_symop_operation_xyz
'x,y,z'
loop_
_atom_site_label
_atom_site_type_symbol
_atom_site_fract_x
_atom_site_fract_y
_atom_site_fract_z
_atom_site_occupancy
Ta1 Ta 0.000 0.000 0.000 1
V1 V 0.500 0.500 0.500 1
Bi1 Bi 0.000 0.000 0.500 1
Bi2 Bi 0.000 0.500 0.000 1
Bi3 Bi 0.500 0.000 0.000 1
```